This record from Alexandria describes an optimized crystal structure of YCoNiP2. The functional is PBE.

uncorrected energy = -7.0239 eV per atom
crystal system = tetragonal
theoretical density = 6356 kg/m3
energy relative to the elements = -0.990 eV per atom
volume = 140 Å³ per cell

Lattice parameters (Å, degrees): 3.860 3.860 9.417 90.00 90.00 90.00
Space group I-4m2 (No. 119)
One atom of each set of equivalent atoms:
Y: 0.000 0.000 0.000 [2 per cell]
Co: 0.000 0.500 0.750 [2 per cell]
Ni: 0.000 0.500 0.250 [2 per cell]
P: 0.000 0.000 0.375 [4 per cell]

This record from Alexandria describes an optimized crystal structure of Ba2TiOs. The functional is PBE.

uncorrected energy = -5.1411 eV per atom
crystal system = tetragonal
theoretical density = 4902 kg/m3
energy relative to the elements = 0.601 eV per atom
volume = 695 Å³ per cell
offset from the most stable computed form = 0.0000 eV per atom

Lattice parameters (Å, degrees): 12.210 12.210 4.660 90.00 90.00 90.00
Space group I-42d (No. 122)
One atom of each set of equivalent atoms:
Ba: 0.074 0.250 0.125 [8 per cell]
Ti: 0.000 0.000 0.500 [4 per cell]
Os: 0.000 0.000 0.000 [4 per cell]

This record from Alexandria describes an optimized crystal structure of Ca2AgMo. The functional is PBE.

uncorrected energy = -3.9484 eV per atom
crystal system = tetragonal
theoretical density = 4734 kg/m3
energy relative to the elements = 0.473 eV per atom
volume = 100 Å³ per cell
offset from the most stable computed form = 0.0530 eV per atom

Lattice parameters (Å, degrees): 3.699 3.699 7.280 90.00 90.00 90.00
Space group P4/mmm (No. 123)
One atom of each set of equivalent atoms:
Ca: 0.000 0.000 0.244 [2 per cell]
Ag: 0.500 0.500 0.500 [1 per cell]
Mo: 0.500 0.500 0.000 [1 per cell]